[1]
ScTl2CoGe after structural relaxation, computed with GGA-PBE.

Lattice parameters (Å, degrees): 5.3255 5.1308 5.3255 90.00 90.00 90.00
Closest atoms and distances in Å follow each position.
Positions (direct):
1 Sc 0.0000 0.5000 0.0000  2 Ge 2.57
2 Tl 0.0000 0.0000 0.5000  2 Ge 2.66
3 Tl 0.5000 0.0000 0.0000  2 Ge 2.66
4 Co 0.5000 0.5000 0.5000  8 Tl 3.70, 4 Sc 3.77
5 Ge 0.0000 0.0000 0.0000  2 Sc 2.57, 4 Tl 2.66

DFT formation energy, eV/atom: 0.877

[2]
CsTiN2 after structural relaxation, computed with GGA-PBE.

Lattice parameters (Å, degrees): 4.3453 4.3453 4.3453 60.00 60.00 60.00
Closest atoms and distances in Å follow each position.
Positions (direct):
1 Cs 0.5000 0.5000 0.5000  8 N 2.66
2 N 0.2500 0.2500 0.2500  4 Ti 2.66, 4 Cs 2.66
3 N 0.7500 0.7500 0.7500  4 Ti 2.66, 4 Cs 2.66
4 Ti 0.0000 0.0000 0.0000  8 N 2.66

E_form (uncorrected), eV/atom: 1.55

[3]
K2InBr after structural relaxation, computed with GGA-PBE.

Lattice parameters (Å, degrees): 6.1057 6.1057 6.1057 60.00 60.00 60.00
Closest atoms and distances in Å follow each position.
Positions (direct):
1 K 0.2500 0.2500 0.2500  4 In 3.74, 4 Br 3.74
2 K 0.7500 0.7500 0.7500  4 In 3.74, 4 Br 3.74
3 Br 0.0000 0.0000 0.0000  8 K 3.74
4 In 0.5000 0.5000 0.5000  8 K 3.74

E_form (uncorrected), eV/atom: -0.46

[4]
Dy4CdPd12 after structural relaxation, computed with GGA-PBE.

Lattice parameters (Å, degrees): 7.4019 7.4019 7.4019 109.47 109.47 109.47
Closest atoms and distances in Å follow each position.
Positions (direct):
1 Dy 0.0000 0.0000 0.5000  12 Pd 3.02-3.05
2 Dy 0.5000 0.0000 0.0000  12 Pd 3.02-3.05
3 Dy 0.5000 0.5000 0.5000  12 Pd 3.02-3.05
4 Dy 0.0000 0.5000 0.0000  12 Pd 3.02-3.05
5 Cd 0.0000 0.0000 0.0000  6 Pd 2.58
6 Pd 0.0000 0.3019 0.3019  1 Cd 2.58, 4 Pd 2.73
7 Pd 0.0000 0.6981 0.6981  1 Cd 2.58, 4 Pd 2.73
8 Pd 0.6981 0.6981 0.0000  1 Cd 2.58, 4 Pd 2.73
9 Pd 0.3019 0.3019 0.0000  1 Cd 2.58, 4 Pd 2.73
10 Pd 0.3019 0.0000 0.3019  1 Cd 2.58, 4 Pd 2.73
11 Pd 0.6981 0.0000 0.6981  1 Cd 2.58, 4 Pd 2.73
12 Pd 0.5000 0.2500 0.7500  8 Pd 2.73-3.02, 4 Dy 3.02
13 Pd 0.5000 0.7500 0.2500  8 Pd 2.73-3.02, 4 Dy 3.02
14 Pd 0.7500 0.2500 0.5000  8 Pd 2.73-3.02, 4 Dy 3.02
15 Pd 0.2500 0.7500 0.5000  8 Pd 2.73-3.02, 4 Dy 3.02
16 Pd 0.7500 0.5000 0.2500  8 Pd 2.73-3.02, 4 Dy 3.02
17 Pd 0.2500 0.5000 0.7500  8 Pd 2.73-3.02, 4 Dy 3.02

DFT formation energy, eV/atom: -0.783

[5]
Rb2DyOs3O12 after structural relaxation, computed with GGA-PBE.

Lattice parameters (Å, degrees): 7.5487 7.5487 7.5487 58.17 58.17 58.17
Closest atoms and distances in Å follow each position.
Positions (direct):
1 Rb 0.6198 0.6198 0.6198  9 O 3.20-3.58
2 Rb 0.3802 0.3802 0.3802  9 O 3.20-3.58
3 Dy 0.0000 0.0000 0.0000  6 O 2.25
4 Os 0.5000 0.0000 0.0000  6 O 1.87-1.92
5 Os 0.0000 0.5000 0.0000  6 O 1.87-1.92
6 Os 0.0000 0.0000 0.5000  6 O 1.87-1.92
7 O 0.3032 0.3032 0.9237  2 Os 1.92
8 O 0.9214 0.9214 0.3601  1 Os 1.87
9 O 0.3601 0.9214 0.9214  1 Os 1.87
10 O 0.9237 0.3032 0.3032  2 Os 1.92
11 O 0.9214 0.3601 0.9214  1 Os 1.87
12 O 0.3032 0.9237 0.3032  2 Os 1.92
13 O 0.6968 0.6968 0.0763  2 Os 1.92
14 O 0.0786 0.0786 0.6399  1 Os 1.87
15 O 0.6399 0.0786 0.0786  1 Os 1.87
16 O 0.0763 0.6968 0.6968  2 Os 1.92
17 O 0.0786 0.6399 0.0786  1 Os 1.87
18 O 0.6968 0.0763 0.6968  2 Os 1.92

E_form (uncorrected), eV/atom: -1.50

[6]
La8Nd5Sn after structural relaxation, computed with GGA-PBE.

Lattice parameters (Å, degrees): 9.1019 9.1198 9.1020 119.70 125.95 85.22
Closest atoms and distances in Å follow each position.
Positions (direct):
1 La 0.0544 0.5836 0.9960  1 Sn 3.46, 2 Nd 3.47-3.85, 3 La 3.70-3.86
2 La 0.9916 0.1135 0.8277  3 Nd 3.19-3.42, 1 La 3.37
3 La 0.7447 0.2065 0.3873  1 Sn 3.39, 3 Nd 3.57-3.70, 3 La 3.70-3.78
4 La 0.6294 0.7134 0.0823  2 La 3.37-3.74, 1 Sn 3.46, 3 Nd 3.51-3.71
5 La 0.3689 0.2866 0.9160  2 La 3.37-3.74, 1 Sn 3.46, 3 Nd 3.51-3.71
6 La 0.7141 0.8865 0.8781  3 Nd 3.19-3.42, 1 La 3.37
7 La 0.4123 0.4164 0.4708  1 Sn 3.46, 2 Nd 3.47-3.85, 3 La 3.70-3.86
8 La 0.1809 0.7935 0.5383  1 Sn 3.38, 3 Nd 3.57-3.70, 3 La 3.70-3.78
9 Nd 0.8420 0.3553 0.1185  1 Sn 3.38, 5 La 3.42-3.71, 3 Nd 3.53-3.78
10 Nd 0.1144 0.0942 0.3558  4 La 3.19-3.57, 1 Sn 3.21, 1 Nd 3.31
11 Nd 0.7631 0.6447 0.4866  1 Sn 3.38, 5 La 3.42-3.71, 3 Nd 3.53-3.78
12 Nd 0.5217 0.0000 0.5217  2 Nd 3.31, 2 La 3.32
13 Nd 0.2615 0.9058 0.0202  4 La 3.19-3.57, 1 Sn 3.21, 1 Nd 3.31
14 Sn 0.1508 0.5000 0.6508  4 Nd 3.21-3.38, 6 La 3.38-3.46

DFT formation energy, eV/atom: -0.002

[7]
Cs2RuBr6F after structural relaxation, computed with GGA-PBE.

Lattice parameters (Å, degrees): 7.6032 7.6032 7.7660 60.69 60.69 90.00
Closest atoms and distances in Å follow each position.
Positions (direct):
1 Cs 0.7500 0.2500 0.5000  12 Br 3.81-3.89
2 Cs 0.2500 0.7500 0.5000  12 Br 3.81-3.89
3 Ru 0.0000 0.0000 0.0000  6 Br 2.52
4 Br 0.2246 0.2246 0.5508  1 Ru 2.52
5 Br 0.7754 0.7754 0.4492  1 Ru 2.52
6 Br 0.2343 0.2343 0.0000  1 Ru 2.52
7 Br 0.7657 0.7657 0.0000  1 Ru 2.52
8 Br 0.7657 0.2343 0.0000  1 Ru 2.52
9 Br 0.2343 0.7657 0.0000  1 Ru 2.52
10 F 0.5000 0.5000 0.0000  6 Br 2.86-3.09

E_form (uncorrected), eV/atom: -0.92

[8]
CsK2Au9 after structural relaxation, computed with GGA-PBE.

Lattice parameters (Å, degrees): 5.4958 7.8373 10.1456 85.24 74.17 69.50
Closest atoms and distances in Å follow each position.
Positions (direct):
1 Cs 0.0000 0.0000 0.0000  8 Au 3.63-4.00
2 K 0.1088 0.2013 0.5807  9 Au 3.32-3.72
3 K 0.8912 0.7987 0.4193  9 Au 3.32-3.72
4 Au 0.4657 0.3134 0.7540  4 Au 2.61-2.85
5 Au 0.5343 0.6866 0.2460  4 Au 2.61-2.85
6 Au 0.5000 0.5000 0.5000  6 Au 2.79-2.85
7 Au 0.5713 0.6387 0.7253  5 Au 2.71-2.79
8 Au 0.6412 0.9586 0.7581  3 Au 2.61-2.73
9 Au 0.0637 0.6387 0.7256  5 Au 2.71-2.79
10 Au 0.4287 0.3613 0.2747  5 Au 2.71-2.79
11 Au 0.9363 0.3613 0.2744  5 Au 2.71-2.79
12 Au 0.3588 0.0414 0.2419  3 Au 2.61-2.73

DFT formation energy, eV/atom: -0.148

We obtain E_tot values of -3.6808 -4.8003 -2.1094 -5.5851 -7.0385 -4.8067 -3.2112 -2.8604 eV/atom for the records listed above, in that order.